Computed, not measured: Na3FeTc2O9 after structural relaxation at the PBE+U level of DFT.

Values from the calculation:
M_tot   4.4 μB per formula unit
Space-group type   P-3m1 (164)
VASP energy   -6.506 eV/atom

Cell lengths 5.487, 5.487, 6.746 Å; angles 90.00, 90.00, 120.00 degrees
Fractional coordinates of all 15 atoms:
1 O 0.000 0.500 0.000
2 Na 0.333 0.667 0.664
3 Fe 0.000 0.000 0.500
4 O 0.830 0.170 0.674
5 Tc 0.667 0.333 0.828
6 Tc 0.333 0.667 0.172
7 O 0.500 0.000 0.000
8 Na 0.000 0.000 0.000
9 O 0.170 0.340 0.326
10 O 0.500 0.500 0.000
11 O 0.830 0.660 0.674
12 O 0.340 0.170 0.674
13 O 0.660 0.830 0.326
14 O 0.170 0.830 0.326
15 Na 0.667 0.333 0.336